P:
The following is a DFT calculation (PBE) of a relaxed structure of V3SiOs.

abc: 4.2791 4.2791 4.2791
angles: 90.00 90.00 90.00
Last column: nearest neighbours and their distance in Å.
Atoms (fractional coordinates):
V 0.0000 0.0000 0.5000  2 Si 2.14
V 0.5000 0.0000 0.0000  2 Si 2.14
V 0.0000 0.5000 0.0000  2 Si 2.14
Si 0.0000 0.0000 0.0000  6 V 2.14
Os 0.5000 0.5000 0.5000  12 V 3.03

## Properties
space-group type: Pm-3m, No. 221


Q:
The following is a DFT calculation (PBE) of a relaxed structure of V3SiOs.

abc: 4.5658 4.5658 4.5658
angles: 90.00 90.00 90.00
Last column: nearest neighbours and their distance in Å.
Atoms (fractional coordinates):
Si 0.5000 0.5000 0.5000  12 V 3.23
Os 0.0000 0.0000 0.0000  6 V 2.28
V 0.0000 0.0000 0.5000  2 Os 2.28
V 0.5000 0.0000 0.0000  2 Os 2.28
V 0.0000 0.5000 0.0000  2 Os 2.28

## Properties
space-group type: Pm-3m, No. 221


Which structure is most stable, and how do the rest compare? From most to least stable: P, Q.


P:
The following is a DFT calculation (PBE) of a relaxed structure of SiOs3W.

abc: 4.7280 4.7280 4.7280
angles: 90.00 90.00 90.00
Last column: nearest neighbours and their distance in Å.
Atoms (fractional coordinates):
Os 0.0000 0.5000 0.0000  2 W 2.36
Os 0.0000 0.0000 0.5000  2 W 2.36
Os 0.5000 0.0000 0.0000  2 W 2.36
W 0.0000 0.0000 0.0000  6 Os 2.36
Si 0.5000 0.5000 0.5000  12 Os 3.34

## Properties
space-group type: Pm-3m, No. 221


Q:
The following is a DFT calculation (PBE) of a relaxed structure of SiOs3W.

abc: 4.3285 4.3285 4.3285
angles: 90.00 90.00 90.00
Last column: nearest neighbours and their distance in Å.
Atoms (fractional coordinates):
Os 0.5000 0.0000 0.0000  2 Si 2.16
Os 0.0000 0.0000 0.5000  2 Si 2.16
Os 0.0000 0.5000 0.0000  2 Si 2.16
Si 0.0000 0.0000 0.0000  6 Os 2.16
W 0.5000 0.5000 0.5000  12 Os 3.06

## Properties
space-group type: Pm-3m, No. 221


Which structure is most stable, and how do the rest compare? From most to least stable: Q, P.


P:
The following is a DFT calculation (PBE) of a relaxed structure of SiOsW3.

abc: 4.7472 4.7472 4.7472
angles: 90.00 90.00 90.00
Last column: nearest neighbours and their distance in Å.
Atoms (fractional coordinates):
Si 0.5000 0.5000 0.5000  12 W 3.36
W 0.0000 0.5000 0.0000  2 Os 2.37
W 0.0000 0.0000 0.5000  2 Os 2.37
W 0.5000 0.0000 0.0000  2 Os 2.37
Os 0.0000 0.0000 0.0000  6 W 2.37

## Properties
space-group type: Pm-3m, No. 221


Q:
The following is a DFT calculation (PBE) of a relaxed structure of SiOsW3.

abc: 4.4133 4.4133 4.4133
angles: 90.00 90.00 90.00
Last column: nearest neighbours and their distance in Å.
Atoms (fractional coordinates):
W 0.0000 0.5000 0.0000  2 Si 2.21
W 0.5000 0.0000 0.0000  2 Si 2.21
W 0.0000 0.0000 0.5000  2 Si 2.21
Os 0.5000 0.5000 0.5000  12 W 3.12
Si 0.0000 0.0000 0.0000  6 W 2.21

## Properties
space-group type: Pm-3m, No. 221


Which structure is most stable, and how do the rest compare? From most to least stable: Q, P.


P:
The following is a DFT calculation (PBE) of a relaxed structure of YSiOs3.

abc: 4.4699 4.4699 4.4699
angles: 90.00 90.00 90.00
Last column: nearest neighbours and their distance in Å.
Atoms (fractional coordinates):
Si 0.0000 0.0000 0.0000  6 Os 2.23
Y 0.5000 0.5000 0.5000  12 Os 3.16
Os 0.5000 0.0000 0.0000  2 Si 2.23
Os 0.0000 0.0000 0.5000  2 Si 2.23
Os 0.0000 0.5000 0.0000  2 Si 2.23

## Properties
space-group type: Pm-3m, No. 221


Q:
The following is a DFT calculation (PBE) of a relaxed structure of YSiOs3.

abc: 4.8624 4.8624 4.8624
angles: 90.00 90.00 90.00
Last column: nearest neighbours and their distance in Å.
Atoms (fractional coordinates):
Y 0.0000 0.0000 0.0000  6 Os 2.43
Os 0.0000 0.0000 0.5000  2 Y 2.43
Os 0.0000 0.5000 0.0000  2 Y 2.43
Os 0.5000 0.0000 0.0000  2 Y 2.43
Si 0.5000 0.5000 0.5000  12 Os 3.44

## Properties
space-group type: Pm-3m, No. 221


Which structure is most stable, and how do the rest compare? From most to least stable: P, Q.


P:
The following is a DFT calculation (PBE) of a relaxed structure of YSi3Os3.

abc: 6.6411 6.6411 7.6791
angles: 64.38 64.38 60.00
Last column: nearest neighbours and their distance in Å.
Atoms (fractional coordinates):
Si 0.1110 0.8107 0.7286  4 Os 2.32-2.47
Si 0.3498 0.1110 0.7286  4 Os 2.32-2.47
Si 0.8890 0.1893 0.2714  4 Os 2.32-2.47
Si 0.6502 0.8890 0.2714  4 Os 2.32-2.47
Si 0.1893 0.6502 0.2714  4 Os 2.32-2.47
Si 0.8107 0.3498 0.7286  4 Os 2.32-2.47
Os 0.0905 0.5134 0.6413  4 Si 2.32-2.47
Os 0.4866 0.2452 0.3587  4 Si 2.32-2.47
Os 0.7548 0.0905 0.6413  4 Si 2.32-2.47
Os 0.5134 0.7548 0.6413  4 Si 2.32-2.47
Os 0.2452 0.9095 0.3587  4 Si 2.32-2.47
Os 0.9095 0.4866 0.3587  4 Si 2.32-2.47
Y 0.3346 0.3346 0.9962  6 Si 2.96-3.14, 6 Os 3.09-3.25
Y 0.6654 0.6654 0.0038  6 Si 2.96-3.14, 6 Os 3.09-3.25

## Properties
space-group type: R-3, No. 148


Q:
The following is a DFT calculation (PBE) of a relaxed structure of YSi3Os3.

abc: 6.5231 6.5231 6.5231
angles: 90.00 90.00 90.00
Last column: nearest neighbours and their distance in Å.
Atoms (fractional coordinates):
Os 0.5000 0.7500 0.0000  4 Si 2.31
Os 0.7500 0.0000 0.5000  4 Si 2.31
Os 0.0000 0.5000 0.7500  4 Si 2.31
Os 0.0000 0.5000 0.2500  4 Si 2.31
Os 0.2500 0.0000 0.5000  4 Si 2.31
Os 0.5000 0.2500 0.0000  4 Si 2.31
Si 0.0000 0.7500 0.5000  4 Os 2.31
Si 0.5000 0.0000 0.7500  4 Os 2.31
Si 0.5000 0.0000 0.2500  4 Os 2.31
Si 0.0000 0.2500 0.5000  4 Os 2.31
Si 0.7500 0.5000 0.0000  4 Os 2.31
Si 0.2500 0.5000 0.0000  4 Os 2.31
Y 0.5000 0.5000 0.5000  12 Os 3.65, 12 Si 3.65
Y 0.0000 0.0000 0.0000  12 Os 3.65, 12 Si 3.65

## Properties
space-group type: Pm-3n, No. 223


Which structure is most stable, and how do the rest compare? From most to least stable: P, Q.


P:
The following is a DFT calculation (PBE) of a relaxed structure of Y3Si8Os3.

abc: 4.1813 7.8043 8.4141
angles: 62.70 75.61 74.46
Last column: nearest neighbours and their distance in Å.
Atoms (fractional coordinates):
Os 0.3261 0.3424 0.0053  5 Si 2.39-2.52
Os 0.6739 0.6576 0.9947  5 Si 2.39-2.52
Os 0.0000 0.5000 0.5000  8 Si 2.40-2.63
Si 0.1410 0.5587 0.1592  4 Os 2.43-2.62, 2 Si 2.67
Si 0.5163 0.6680 0.2993  3 Os 2.52-2.63, 5 Si 2.53-2.74
Si 0.3630 0.0235 0.2505  1 Os 2.39, 3 Si 2.45-2.53
Si 0.1163 0.1488 0.6186  1 Os 2.40, 2 Si 2.45
Si 0.8590 0.4413 0.8408  4 Os 2.43-2.62, 2 Si 2.67
Si 0.6370 0.9765 0.7495  1 Os 2.39, 3 Si 2.45-2.53
Si 0.4837 0.3320 0.7007  3 Os 2.52-2.63, 5 Si 2.53-2.74
Si 0.8837 0.8512 0.3814  1 Os 2.40, 2 Si 2.45
Y 0.0000 0.0000 0.0000  8 Si 2.83-3.01
Y 0.7054 0.2450 0.3442  9 Si 2.85-3.06
Y 0.2946 0.7550 0.6558  9 Si 2.85-3.06

## Properties
space-group type: C2/m, No. 12


Q:
The following is a DFT calculation (PBE) of a relaxed structure of Y3Si8Os3.

abc: 4.1358 7.8338 7.8338
angles: 76.35 74.69 74.69
Last column: nearest neighbours and their distance in Å.
Atoms (fractional coordinates):
Si 0.3773 0.3329 0.9125  3 Os 2.48-2.52, 3 Si 2.54-2.65
Si 0.6227 0.0875 0.6671  3 Os 2.48-2.52, 3 Si 2.54-2.65
Si 0.3773 0.9125 0.3329  3 Os 2.48-2.52, 3 Si 2.54-2.65
Si 0.8307 0.7977 0.5409  1 Os 2.40, 4 Si 2.49-2.65
Si 0.1693 0.4591 0.2023  1 Os 2.40, 4 Si 2.49-2.65
Si 0.8307 0.5409 0.7977  1 Os 2.40, 4 Si 2.49-2.65
Si 0.6227 0.6671 0.0875  3 Os 2.48-2.52, 3 Si 2.54-2.65
Si 0.1693 0.2023 0.4591  1 Os 2.40, 4 Si 2.49-2.65
Y 0.8176 0.1824 0.1824  4 Os 2.96-3.07, 8 Si 2.96-2.98
Y 0.5000 0.5000 0.5000  12 Si 3.11-3.15, 4 Os 3.34
Y 0.1824 0.8176 0.8176  4 Os 2.96-3.07, 8 Si 2.96-2.98
Os 0.0000 0.7707 0.2293  6 Si 2.40-2.52
Os 0.0000 0.2293 0.7707  6 Si 2.40-2.52
Os 0.5000 0.0000 0.0000  4 Si 2.48

## Properties
space-group type: Immm, No. 71


Which structure is most stable, and how do the rest compare? From most to least stable: P, Q.


P:
The following is a DFT calculation (PBE) of a relaxed structure of Zn3SiOs.

abc: 4.7744 4.7744 4.7744
angles: 90.00 90.00 90.00
Last column: nearest neighbours and their distance in Å.
Atoms (fractional coordinates):
Zn 0.0000 0.5000 0.0000  2 Os 2.39
Zn 0.5000 0.0000 0.0000  2 Os 2.39
Zn 0.0000 0.0000 0.5000  2 Os 2.39
Os 0.0000 0.0000 0.0000  6 Zn 2.39
Si 0.5000 0.5000 0.5000  12 Zn 3.38

## Properties
space-group type: Pm-3m, No. 221


Q:
The following is a DFT calculation (PBE) of a relaxed structure of Zn3SiOs.

abc: 4.5362 4.5362 4.5362
angles: 90.00 90.00 90.00
Last column: nearest neighbours and their distance in Å.
Atoms (fractional coordinates):
Zn 0.0000 0.5000 0.0000  2 Si 2.27
Zn 0.0000 0.0000 0.5000  2 Si 2.27
Zn 0.5000 0.0000 0.0000  2 Si 2.27
Si 0.0000 0.0000 0.0000  6 Zn 2.27
Os 0.5000 0.5000 0.5000  12 Zn 3.21

## Properties
space-group type: Pm-3m, No. 221


Which structure is most stable, and how do the rest compare? From most to least stable: P, Q.


P:
The following is a DFT calculation (PBE) of a relaxed structure of ZrSi3Os.

abc: 4.6290 4.6290 4.6290
angles: 90.00 90.00 90.00
Last column: nearest neighbours and their distance in Å.
Atoms (fractional coordinates):
Zr 0.5000 0.5000 0.5000  12 Si 3.27
Si 0.0000 0.0000 0.5000  2 Os 2.31
Si 0.0000 0.5000 0.0000  2 Os 2.31
Si 0.5000 0.0000 0.0000  2 Os 2.31
Os 0.0000 0.0000 0.0000  6 Si 2.31

## Properties
space-group type: Pm-3m, No. 221


Q:
The following is a DFT calculation (PBE) of a relaxed structure of ZrSi3Os.

abc: 4.9060 4.9060 4.9060
angles: 90.00 90.00 90.00
Last column: nearest neighbours and their distance in Å.
Atoms (fractional coordinates):
Si 0.0000 0.0000 0.5000  2 Zr 2.45
Si 0.5000 0.0000 0.0000  2 Zr 2.45
Si 0.0000 0.5000 0.0000  2 Zr 2.45
Zr 0.0000 0.0000 0.0000  6 Si 2.45
Os 0.5000 0.5000 0.5000  12 Si 3.47

## Properties
space-group type: Pm-3m, No. 221


Which structure is most stable, and how do the rest compare? From most to least stable: P, Q.